(1)
Below is a relaxed Sc3AlC crystal, with properties calculated at the GGA-PBEsol level.

Structure (POSCAR):
```
Sc3AlC
1.0
4.471 0.000 0.000
0.000 4.471 0.000
0.000 0.000 4.471
Sc C Al
3 1 1
Direct
0.000 0.500 0.500
0.500 0.500 0.000
0.500 0.000 0.500
0.500 0.500 0.500
0.000 0.000 0.000
```

DOS at the Fermi energy: 1.5 states/eV/f.u.
space-group type: Pm-3m, No. 221
ΔE_f: -0.62 eV/atom

***

(2)
Below is a relaxed BePSeCl2 crystal, with properties calculated at the GGA-PBEsol level.

Structure (POSCAR):
```
BePSeCl2
1.0
4.816 0.000 0.000
0.000 4.816 0.000
0.000 0.000 4.949
Se P Cl Be
1 1 2 1
Direct
0.000 0.000 0.000
0.000 0.000 0.500
0.500 0.000 0.000
0.000 0.500 0.000
0.500 0.500 0.500
```

DOS at the Fermi energy: 1.6 states/eV/f.u.
E_form (uncorrected): 846 meV/atom
space-group type: P4/mmm, No. 123

***

(3)
Below is a relaxed In2HgMo crystal, with properties calculated at the GGA-PBEsol level.

Structure (POSCAR):
```
In2HgMo
1.0
3.117 0.000 0.000
1.559 2.700 0.000
1.559 0.900 9.536
In Hg Mo
2 1 1
Direct
0.755 0.755 0.734
0.245 0.245 0.266
0.000 0.000 0.000
0.500 0.500 0.500
```

DOS at the Fermi energy: 3.3 states/eV/f.u.
space-group type: R-3m, No. 166
ΔE_f: 0.31 eV/atom

***

(4)
Below is a relaxed CoReN2 crystal, with properties calculated at the GGA-PBEsol level.

Structure (POSCAR):
```
CoReN2
1.0
-0.552 -0.663 -2.626
-0.292 -2.651 -0.724
-6.370 -0.761 0.078
Co N Re
1 2 1
Direct
0.000 0.000 0.000
0.904 0.904 0.288
0.096 0.096 0.712
0.500 0.500 0.500
```

DOS at the Fermi energy: 2.3 states/eV/f.u.
E above lowest polymorph: 126 meV/atom
E_form (uncorrected): 152 meV/atom
space-group type: R-3m, No. 166

***

(5)
Below is a relaxed K2CoO2 crystal, with properties calculated at the GGA-PBEsol level.

Structure (POSCAR):
```
K2CoO2
1.0
6.496 0.051 0.000
-3.156 6.037 0.000
0.000 0.000 9.472
O K Co
8 8 4
Direct
0.047 0.729 0.852
0.492 0.697 0.517
0.953 0.771 0.352
0.953 0.271 0.148
0.508 0.303 0.483
0.047 0.229 0.648
0.508 0.803 0.017
0.492 0.197 0.983
0.251 0.138 0.236
0.215 0.893 0.588
0.215 0.393 0.912
0.749 0.862 0.764
0.251 0.638 0.264
0.785 0.107 0.412
0.785 0.607 0.088
0.749 0.362 0.736
0.694 0.595 0.434
0.694 0.095 0.066
0.306 0.405 0.566
0.306 0.905 0.934
```

DOS at the Fermi energy: 0.3 states/eV/f.u.
E_form (uncorrected): -1116 meV/atom
space-group type: P2_1/c, No. 14

***

(6)
Below is a relaxed Li3ZrRe crystal, with properties calculated at the GGA-PBEsol level.

Structure (POSCAR):
```
Li3ZrRe
1.0
4.410 0.000 0.000
0.000 4.410 0.000
0.000 0.000 4.410
Li Zr Re
3 1 1
Direct
0.500 0.000 0.000
0.000 0.500 0.000
0.000 0.000 0.500
0.000 0.000 0.000
0.500 0.500 0.500
```

DOS at the Fermi energy: 4.4 states/eV/f.u.
space-group type: Pm-3m, No. 221
ΔE_f: 2.15 eV/atom

***

(7)
Below is a relaxed Na3MnTe crystal, with properties calculated at the GGA-PBEsol level.

Structure (POSCAR):
```
Na3MnTe
1.0
-1.501 -1.354 5.087
-2.093 -4.700 -1.869
4.830 -2.457 0.771
Na Te Mn
3 1 1
Direct
0.500 0.000 0.000
0.000 0.000 0.500
0.000 0.500 0.000
0.500 0.500 0.500
0.000 0.000 0.000
```

DOS at the Fermi energy: 5.6 states/eV/f.u.
E_form (uncorrected): 583 meV/atom
space-group type: Pm-3m, No. 221

***

(8)
Below is a relaxed Sr2LiIn2 crystal, with properties calculated at the GGA-PBEsol level.

Structure (POSCAR):
```
Sr2LiIn2
1.0
4.978 0.000 0.000
0.000 8.084 0.000
0.000 0.000 8.084
Sr Li In
4 2 4
Direct
0.500 0.332 0.168
0.500 0.832 0.332
0.500 0.168 0.668
0.500 0.668 0.832
0.000 0.500 0.500
0.000 0.000 0.000
0.000 0.632 0.132
0.000 0.868 0.632
0.000 0.132 0.368
0.000 0.368 0.868
```

DOS at the Fermi energy: 4.4 states/eV/f.u.
space-group type: P4/mbm, No. 127
ΔE_f: -0.30 eV/atom

***

(9)
Below is a relaxed SrFeH2S crystal, with properties calculated at the GGA-PBEsol level.

Structure (POSCAR):
```
SrFeH2S
1.0
-3.064 -2.477 0.684
2.315 -3.122 -0.942
1.636 -0.476 5.600
S H Fe Sr
1 2 1 1
Direct
0.000 0.000 0.500
0.500 0.000 0.000
0.000 0.500 0.000
0.500 0.500 0.500
0.000 0.000 0.000
```

DOS at the Fermi energy: 4.8 states/eV/f.u.
space-group type: P4/mmm, No. 123
raw total energy: -19.288 eV per cell

***

(10)
Below is a relaxed NaHfInH2 crystal, with properties calculated at the GGA-PBEsol level.

Structure (POSCAR):
```
NaHfInH2
1.0
4.040 0.000 0.000
0.000 4.040 0.000
0.000 0.000 5.694
H Hf In Na
2 1 1 1
Direct
0.500 0.000 0.000
0.000 0.500 0.000
0.000 0.000 0.500
0.500 0.500 0.500
0.000 0.000 0.000
```

DOS at the Fermi energy: 2.9 states/eV/f.u.
space-group type: P4/mmm, No. 123
raw total energy: -16.478 eV per cell

***

(11)
Below is a relaxed GaTeP2 crystal, with properties calculated at the GGA-PBEsol level.

Structure (POSCAR):
```
GaTeP2
1.0
-1.627 4.463 2.431
-2.652 1.432 -4.403
-3.322 -6.161 3.231
P Te Ga
4 2 2
Direct
0.125 0.166 0.750
0.416 0.875 0.250
0.625 0.584 0.750
0.834 0.375 0.250
0.000 0.000 0.000
0.250 0.750 0.500
0.750 0.250 0.500
0.500 0.500 0.000
```

DOS at the Fermi energy: 1.4 states/eV/f.u.
E_form (uncorrected): 313 meV/atom
space-group type: I-42d, No. 122

***

(12)
Below is a relaxed ZnReAs2 crystal, with properties calculated at the GGA-PBEsol level.

Structure (POSCAR):
```
ZnReAs2
1.0
-1.944 1.165 2.087
-1.377 -3.635 0.747
3.552 -0.597 3.643
Re As Zn
1 2 1
Direct
0.000 0.000 0.457
0.500 0.500 0.301
0.000 0.000 0.957
0.500 0.500 0.785
```

DOS at the Fermi energy: 2.5 states/eV/f.u.
space-group type: Pmm2, No. 25
ΔE_f: 0.35 eV/atom

***

(13)
Below is a relaxed Na14Cu2O9 crystal, with properties calculated at the GGA-PBEsol level.

Structure (POSCAR):
```
Na14Cu2O9
1.0
6.579 0.000 0.000
-3.290 5.698 0.000
0.000 0.000 9.222
O Na Cu
9 14 2
Direct
0.333 0.667 0.043
0.000 0.000 0.000
0.303 0.361 0.337
0.639 0.942 0.337
0.697 0.639 0.663
0.058 0.697 0.337
0.667 0.333 0.957
0.361 0.058 0.663
0.942 0.303 0.663
0.378 0.063 0.406
0.672 0.031 0.093
0.641 0.672 0.907
0.359 0.328 0.093
0.937 0.314 0.406
0.686 0.622 0.406
0.031 0.359 0.907
0.000 0.000 0.251
0.328 0.969 0.907
0.314 0.378 0.594
0.622 0.937 0.594
0.000 0.000 0.749
0.063 0.686 0.594
0.969 0.641 0.093
0.333 0.667 0.263
0.667 0.333 0.737
```

DOS at the Fermi energy: 17.6 states/eV/f.u.
E_form (uncorrected): -1086 meV/atom
space-group type: P-3, No. 147

***

(14)
Below is a relaxed RhSN2Cl crystal, with properties calculated at the GGA-PBEsol level.

Structure (POSCAR):
```
RhSN2Cl
1.0
-1.834 2.647 1.025
-1.825 -0.164 -2.840
-3.969 -3.824 2.771
N Rh S Cl
2 1 1 1
Direct
0.000 0.500 0.000
0.500 0.000 0.000
0.500 0.500 0.500
0.000 0.000 0.500
0.000 0.000 0.000
```

DOS at the Fermi energy: 5.1 states/eV/f.u.
E above lowest polymorph: 1083 meV/atom
E_form (uncorrected): 2087 meV/atom
space-group type: P4/mmm, No. 123

***

(15)
Below is a relaxed LaSi2Ru crystal, with properties calculated at the GGA-PBEsol level.

Structure (POSCAR):
```
LaSi2Ru
1.0
-3.772 -0.707 1.361
3.195 -1.671 1.896
-0.528 5.550 1.419
La Ru Si
1 1 2
Direct
0.000 0.000 0.500
0.500 0.000 0.000
0.793 0.587 0.880
0.207 0.413 0.120
```

DOS at the Fermi energy: 2.6 states/eV/f.u.
E_form (uncorrected): -777 meV/atom
space-group type: C2/m, No. 12

***

(16)
Below is a relaxed SnTeRh3 crystal, with properties calculated at the GGA-PBEsol level.

Structure (POSCAR):
```
SnTeRh3
1.0
4.783 0.000 0.000
0.000 4.783 0.000
0.000 0.000 4.783
Rh Te Sn
3 1 1
Direct
0.500 0.000 0.000
0.000 0.000 0.500
0.000 0.500 0.000
0.000 0.000 0.000
0.500 0.500 0.500
```

DOS at the Fermi energy: 10.5 states/eV/f.u.
E_form (uncorrected): 776 meV/atom
space-group type: Pm-3m, No. 221

***

(17)
Below is a relaxed Au2SeCl crystal, with properties calculated at the GGA-PBEsol level.

Structure (POSCAR):
```
Au2SeCl
1.0
3.531 0.000 0.000
1.766 4.949 -0.288
1.766 -0.281 4.950
Au Se Cl
2 1 1
Direct
0.000 0.747 0.253
0.000 0.253 0.747
0.500 0.500 0.500
0.500 0.000 0.000
```

DOS at the Fermi energy: 2.8 states/eV/f.u.
E above lowest polymorph: 74 meV/atom
E_form (uncorrected): 224 meV/atom
space-group type: Immm, No. 71

***

(18)
Below is a relaxed CoSiTc crystal, with properties calculated at the GGA-PBEsol level.

Structure (POSCAR):
```
CoSiTc
1.0
3.854 0.000 0.000
1.927 3.337 0.000
1.927 1.112 3.147
Co Tc Si
1 1 1
Direct
0.250 0.250 0.250
0.500 0.500 0.500
0.000 0.000 0.000
```

DOS at the Fermi energy: 3.8 states/eV/f.u.
E above lowest polymorph: 0 meV/atom
E_form (uncorrected): -118 meV/atom
space-group type: F-43m, No. 216

***

(19)
Below is a relaxed Sc3Cu crystal, with properties calculated at the GGA-PBEsol level.

Structure (POSCAR):
```
Sc3Cu
1.0
-1.054 0.785 2.895
-2.950 -0.827 -0.850
1.368 -7.481 2.526
Sc Cu
3 1
Direct
0.000 0.000 0.500
0.500 0.500 0.203
0.500 0.500 0.797
0.000 0.000 0.000
```

DOS at the Fermi energy: 6.8 states/eV/f.u.
E above lowest polymorph: 46 meV/atom
space-group type: P4/mmm, No. 123
ΔE_f: -0.09 eV/atom

***

(20)
Below is a relaxed TcGeTe2 crystal, with properties calculated at the GGA-PBEsol level.

Structure (POSCAR):
```
TcGeTe2
1.0
-0.442 -2.967 0.827
2.188 -1.506 1.621
-3.820 1.627 9.655
Ge Tc Te
1 1 2
Direct
0.500 0.500 0.500
0.000 0.000 0.000
0.918 0.918 0.246
0.082 0.082 0.754
```

DOS at the Fermi energy: 3.5 states/eV/f.u.
E_form (uncorrected): 744 meV/atom
space-group type: R-3m, No. 166

***

(21)
Below is a relaxed CrTeW crystal, with properties calculated at the GGA-PBEsol level.

Structure (POSCAR):
```
CrTeW
1.0
3.056 0.000 0.000
0.000 4.088 0.000
-1.528 -2.044 3.868
Cr Te W
1 1 1
Direct
0.000 0.000 0.001
0.669 0.669 0.338
0.331 0.331 0.662
```

DOS at the Fermi energy: 2.1 states/eV/f.u.
E above lowest polymorph: 339 meV/atom
E_form (uncorrected): 730 meV/atom
space-group type: Imm2, No. 44

***

(22)
Below is a relaxed Hf3AsSe crystal, with properties calculated at the GGA-PBEsol level.

Structure (POSCAR):
```
Hf3AsSe
1.0
-4.308 1.378 -1.901
0.444 -3.422 -3.488
-2.306 -3.235 2.880
Hf As Se
3 1 1
Direct
0.000 0.000 0.500
0.500 0.000 0.000
0.000 0.500 0.000
0.000 0.000 0.000
0.500 0.500 0.500
```

DOS at the Fermi energy: 7.9 states/eV/f.u.
E_form (uncorrected): 371 meV/atom
space-group type: Pm-3m, No. 221

***

(23)
Below is a relaxed TmGaO3 crystal, with properties calculated at the GGA-PBEsol level.

Structure (POSCAR):
```
TmGaO3
1.0
-4.735 0.723 -1.961
-2.154 -3.004 4.094
-0.766 6.171 4.126
O Tm Ga
12 4 4
Direct
0.690 0.693 0.060
0.690 0.693 0.440
0.810 0.193 0.440
0.810 0.193 0.060
0.190 0.807 0.560
0.310 0.307 0.940
0.619 0.958 0.750
0.381 0.042 0.250
0.119 0.542 0.250
0.310 0.307 0.560
0.881 0.458 0.750
0.190 0.807 0.940
0.978 0.926 0.250
0.478 0.574 0.750
0.022 0.074 0.750
0.522 0.426 0.250
0.000 0.500 0.500
0.500 0.000 0.500
0.500 0.000 0.000
0.000 0.500 0.000
```

DOS at the Fermi energy: 0.0 states/eV/f.u.
E_form (uncorrected): -2825 meV/atom
space-group type: Pnma, No. 62

***

(24)
Below is a relaxed TaAl2Sb crystal, with properties calculated at the GGA-PBEsol level.

Structure (POSCAR):
```
TaAl2Sb
1.0
3.530 0.000 0.000
0.000 4.498 0.000
0.000 0.000 4.498
Al Sb Ta
2 1 1
Direct
0.000 0.500 0.000
0.000 0.000 0.500
0.500 0.500 0.500
0.500 0.000 0.000
```

DOS at the Fermi energy: 2.3 states/eV/f.u.
E_form (uncorrected): 167 meV/atom
space-group type: P4/mmm, No. 123

***

(25)
Below is a relaxed K2NaGdCl6 crystal, with properties calculated at the GGA-PBEsol level.

Structure (POSCAR):
```
K2NaGdCl6
1.0
-4.069 0.622 -6.241
0.717 -5.067 -5.450
-5.532 -4.843 -1.353
K Cl Na Gd
2 6 1 1
Direct
0.250 0.250 0.250
0.750 0.750 0.750
0.752 0.248 0.248
0.248 0.248 0.752
0.248 0.752 0.248
0.752 0.248 0.752
0.752 0.752 0.248
0.248 0.752 0.752
0.500 0.500 0.500
0.000 0.000 0.000
```

DOS at the Fermi energy: 0.0 states/eV/f.u.
E_form (uncorrected): -2031 meV/atom
space-group type: Fm-3m, No. 225

***

(26)
Below is a relaxed BaBr2 crystal, with properties calculated at the GGA-PBEsol level.

Structure (POSCAR):
```
BaBr2
1.0
-3.463 -2.140 -1.186
1.488 -0.212 -3.965
3.353 -3.276 3.701
Br Ba
2 1
Direct
0.158 0.158 0.317
0.842 0.842 0.683
0.500 0.500 0.000
```

DOS at the Fermi energy: 0.0 states/eV/f.u.
E_form (uncorrected): -2054 meV/atom
space-group type: I4/mmm, No. 139